(1)
This record from Alexandria describes a geometry-optimized MnSiAg2 structure. The functional is PBE.

The calculation puts the polymorph energy (0 for the lowest one) at 0.130 eV/atom. The value obtained for the formation energy (no corrections) is 0.246 eV per atom. As for the total magnetic moment: 3.49 μB/f.u.

The space group is Imm2 (No. 44) and the conventional cell measures 3.008, 4.679 and 9.099 Å, with angles of 90.00, 90.00 and 90.00 degrees. The inequivalent atoms are Mn at (0.000, 0.000, 0.000), Si at (0.000, 0.500, 0.711), Ag at (0.000, 0.000, 0.447) and Ag at (0.000, 0.500, 0.228).

(2)
This record from Alexandria describes a geometry-optimized MnSiAg4 structure. The functional is PBE.

The value obtained for the formation energy (no corrections) is 0.463 eV per atom. As for the total magnetic moment: 4.66 μB/f.u.

The space group is F-43m (No. 216) and the conventional cell measures 7.674, 7.674 and 7.674 Å, with angles of 90.00, 90.00 and 90.00 degrees. The inequivalent atoms are Mn at (0.000, 0.000, 0.000), Si at (0.250, 0.250, 0.750) and Ag at (0.125, 0.125, 0.375).

(3)
This record from Alexandria describes a geometry-optimized Mn2SiAg structure. The functional is PBE.

The value obtained for the formation energy (no corrections) is 0.205 eV per atom. As for the total magnetic moment: 5.86 μB/f.u.

The space group is R-3m (No. 166, hexagonal axes) and the conventional cell measures 2.7772, 2.7772 and 25.6128 Å, with angles of 90.00, 90.00 and 120.00 degrees. The inequivalent atoms are Mn at (0.0000, 0.0000, 0.2419), Si at (0.0000, 0.0000, 0.5000) and Ag at (0.0000, 0.0000, 0.0000).

(4)
This record from Alexandria describes a geometry-optimized Mn2SiAg structure. The functional is PBE.

The value obtained for the formation energy (no corrections) is 0.098 eV per atom. As for the total magnetic moment: 5.28 μB/f.u.

The space group is P2/m (No. 10) and the conventional cell measures 2.753, 3.377 and 5.987 Å, with angles of 90.00, 92.63 and 90.00 degrees. The inequivalent atoms are Mn at (0.029, 0.000, 0.289), Si at (0.500, 0.500, 0.500) and Ag at (0.500, 0.500, 0.000).

(5)
This record from Alexandria describes a geometry-optimized MnSiAg2 structure. The functional is PBE.

The calculation puts the polymorph energy (0 for the lowest one) at 0.257 eV/atom. The value obtained for the formation energy (no corrections) is 0.374 eV per atom. As for the total magnetic moment: 3.58 μB/f.u.

The space group is I-42d (No. 122) and the conventional cell measures 3.797, 3.797 and 19.345 Å, with angles of 90.00, 90.00 and 90.00 degrees. The inequivalent atoms are Mn at (0.000, 0.000, 0.000), Si at (0.000, 0.000, 0.500) and Ag at (0.247, 0.250, 0.625).

(6)
This record from Alexandria describes a geometry-optimized Mn2SiAg structure. The functional is PBE.

The value obtained for the formation energy (no corrections) is 0.145 eV per atom. As for the total magnetic moment: 5.63 μB/f.u.

The space group is Immm (No. 71) and the conventional cell measures 3.873, 3.896 and 7.368 Å, with angles of 90.00, 90.00 and 90.00 degrees. The inequivalent atoms are Mn at (0.000, 0.000, 0.249), Si at (0.000, 0.500, 0.500) and Ag at (0.000, 0.500, 0.000).

(7)
This record from Alexandria describes a geometry-optimized Mn2SiAg structure. The functional is PBE.

The value obtained for the formation energy (no corrections) is 0.035 eV per atom. As for the total magnetic moment: 4.95 μB/f.u.

The space group is P4/mmm (No. 123) and the conventional cell measures 2.701, 2.701 and 7.410 Å, with angles of 90.00, 90.00 and 90.00 degrees. The inequivalent atoms are Mn at (0.000, 0.000, 0.212), Si at (0.500, 0.500, 0.000) and Ag at (0.500, 0.500, 0.500).

(8)
This record from Alexandria describes a geometry-optimized MnSiAg2 structure. The functional is PBE.

The calculation puts the polymorph energy (0 for the lowest one) at 0.100 eV/atom. The value obtained for the formation energy (no corrections) is 0.217 eV per atom. As for the total magnetic moment: 3.50 μB/f.u.

The space group is P4/mmm (No. 123) and the conventional cell measures 3.873, 3.873 and 4.274 Å, with angles of 90.00, 90.00 and 90.00 degrees. The inequivalent atoms are Mn at (0.000, 0.000, 0.000), Si at (0.500, 0.500, 0.000) and Ag at (0.000, 0.500, 0.500).

Summary of DFT total energy in eV/cell
-38.619; -92.868; -77.376; -26.220; -75.201; -52.070; -26.474; -19.428
(order as listed above)